Here is a relaxed Rb3VN8 crystal from the Alexandria database. Energies are from PBE.

The calculation puts the volume at 477 Å³/cell. Its energy relative to the elements, uncorrected is -1.414 eV per formula unit.

Lattice parameters (Å, degrees): 7.3477 7.3477 8.8406 90.00 90.00 90.00
Last column: nearest neighbours and their distance in Å.
Space group I-42m (No. 121)
Symmetry-distinct sites (fractional):
Rb  0.0000  0.0000  0.0000  8 N 3.14-3.41
Rb  0.0000  0.5000  0.2500  8 N 2.95-3.29
V  0.0000  0.0000  0.5000  8 N 2.01-2.08
N  0.1434  0.1434  0.3475  1 N 1.23
N  0.1986  0.1986  0.4706  1 N 1.23